(1)
A plane-wave DFT calculation with PBE-GGA was carried out for a geometry-optimized Pm2PrY4Mg structure.

Unit cell a=5.0183 b=5.0256 c=11.4106 alpha=63.88 beta=90.00 gamma=90.00
Fractional coordinates of all 8 atoms:
Pm (0.0000, 0.0000, 0.0000)
Y (0.0000, 0.2447, 0.2554)
Y (0.5000, 0.7451, 0.2550)
Y (0.5000, 0.2549, 0.7450)
Y (0.0000, 0.7553, 0.7446)
Pr (0.5000, 0.5000, 0.0000)
Mg (0.0000, 0.5000, 0.5000)
Pm (0.5000, 0.0000, 0.5000)

Calculated values
The formation energy from the elements is 0.025 eV per atom. As for the symmetry: P4/mmm.

(2)
A plane-wave DFT calculation with PBE-GGA was carried out for a geometry-optimized Cs4Cd3Hg5 structure.

Unit cell a=5.5587 b=8.8619 c=11.0051 alpha=102.66 beta=104.63 gamma=90.00
Fractional coordinates of all 12 atoms:
Hg (0.7154, 0.8060, 0.4308)
Cs (0.0967, 0.9058, 0.1934)
Hg (0.2846, 0.1940, 0.5692)
Cd (0.2879, 0.8484, 0.5758)
Cd (0.7121, 0.1516, 0.4242)
Cd (0.5000, 0.5000, 0.0000)
Hg (0.4551, 0.8157, 0.9102)
Cs (0.1618, 0.4475, 0.3236)
Hg (0.5449, 0.1843, 0.0898)
Hg (0.0000, 0.5000, 0.0000)
Cs (0.9033, 0.0942, 0.8066)
Cs (0.8382, 0.5525, 0.6764)

Calculated values
The formation energy from the elements is -0.146 eV per atom. As for the symmetry: C2/m.